Nd2Sm8Sn | PBE | optimized geometry

Properties
Calculated formation energy in meV per atom: -8
Mass density in g cm⁻³: 7.3
Final energy in eV for the cell shown: -102.75

Geometry as CIF:
```
data_Nd2Sm8Sn
_chemical_formula_sum 'Nd4 Sm16 Sn2'
_cell_length_a 15.092
_cell_length_b 6.787
_cell_length_c 7.474
_cell_angle_alpha 90.00
_cell_angle_beta 105.92
_cell_angle_gamma 90.00
_space_group_name_H-M_alt 'C 1 2/m 1'
_space_group_IT_number 12
loop_
_space_group_symop_operation_xyz
'x,y,z'
'-x,-y,-z'
'-x,y,-z'
'x,-y,z'
'x+1/2,y+1/2,z'
'-x+1/2,-y+1/2,-z'
'-x+1/2,y+1/2,-z'
'x+1/2,-y+1/2,z'
loop_
_atom_site_label
_atom_site_fract_x
_atom_site_fract_y
_atom_site_fract_z
Nd1 0.239 0.000 0.275
Sm1 0.071 0.259 0.363
Sm2 0.105 0.500 0.956
Sm3 0.174 0.000 0.761
Sn1 0.000 0.000 0.000
```